[1]
SrPbSe3: optimized geometry, PBE-GGA.

The calculation puts the total moment at 0.000 μB per atom. As for the electronic total energy: -18.5 eV per formula unit. For the energy above the most stable polymorph in this dataset, the calculation gives 0.00 eV per formula unit. Its uncorrected formation energy is -0.53 eV per atom.

a = 5.453 Å, b = 5.453 Å, c = 5.453 Å
α = 90.00°, β = 90.00°, γ = 90.00°
Space group Pm-3m (No. 221)
Unique sites:
Sr 0.000 0.000 0.000
Pb 0.500 0.500 0.500
Se 0.000 0.500 0.500

---

[2]
ZrBrCl2: optimized geometry, PBE-GGA.

The calculation puts the total moment at 0.000 μB per atom. As for the electronic total energy: -15.7 eV per formula unit. For the energy above the most stable polymorph in this dataset, the calculation gives 4.46 eV per formula unit. Its uncorrected formation energy is -0.44 eV per atom.

a = 5.996 Å, b = 9.494 Å, c = 3.534 Å
α = 90.00°, β = 120.18°, γ = 90.00°
Space group C2/m (No. 12)
Unique sites:
Zr 0.000 0.000 0.000
Br 0.000 0.500 0.000
Cl 0.250 0.250 0.500

---

[3]
Na2LaV: optimized geometry, PBE-GGA.

The calculation puts the total moment at 0.955 μB per atom. As for the electronic total energy: -14.0 eV per formula unit. For the energy above the most stable polymorph in this dataset, the calculation gives 0.00 eV per formula unit. For the formation energy, the calculation gives 0.682 eV per atom.

a = 4.368 Å, b = 4.368 Å, c = 25.351 Å
α = 90.00°, β = 90.00°, γ = 90.00°
Space group I-42d (No. 122)
Unique sites:
Na 0.223 0.250 0.125
La 0.000 0.000 0.500
V 0.000 0.000 0.000

---

[4]
LaNiSnRh: optimized geometry, PBE-GGA.

The calculation puts the total moment at 0.000 μB per atom. As for the electronic total energy: -23.9 eV per formula unit. For the formation energy, the calculation gives -0.462 eV per atom.

a = 6.808 Å, b = 6.808 Å, c = 6.808 Å
α = 90.00°, β = 90.00°, γ = 90.00°
Space group F-43m (No. 216)
Unique sites:
La 0.000 0.000 0.000
Ni 0.250 0.250 0.750
Sn 0.000 0.000 0.500
Rh 0.250 0.250 0.250